Record 1
{
  "formula": "VFeOF2",
  "functional": "PBE with a Hubbard U",
  "state": "relaxed",
  "spacegroup": "P4/mmm, No. 123",
  "cell": [[4.0744, 0.0000, 0.0000], [0.0000, 4.0744, 0.0000], [0.0000, 0.0000, 3.8574]],
  "species": ["V", "Fe", "O", "F", "F"],
  "frac_coords": [[0.0000, 0.0000, 0.0000], [0.5000, 0.5000, 0.5000], [0.0000, 0.0000, 0.5000], [0.0000, 0.5000, 0.0000], [0.5000, 0.0000, 0.0000]]
}


Record 2
{
  "formula": "VFeOF2",
  "functional": "PBE with a Hubbard U",
  "state": "relaxed",
  "spacegroup": "P4/mmm, No. 123",
  "cell": [[3.9688, 0.0000, 0.0000], [0.0000, 3.9688, 0.0000], [0.0000, 0.0000, 4.1140]],
  "species": ["V", "Fe", "O", "F", "F"],
  "frac_coords": [[0.0000, 0.0000, 0.0000], [0.5000, 0.5000, 0.5000], [0.5000, 0.5000, 0.0000], [0.0000, 0.5000, 0.5000], [0.5000, 0.0000, 0.5000]]
}


Record 3
{
  "formula": "Fe2WOF",
  "functional": "PBE with a Hubbard U",
  "state": "relaxed",
  "spacegroup": "P4/mmm, No. 123",
  "cell": [[3.8414, 0.0000, 0.0000], [0.0000, 3.8414, 0.0000], [0.0000, 0.0000, 4.9856]],
  "species": ["Fe", "Fe", "W", "O", "F"],
  "frac_coords": [[0.0000, 0.5000, 0.0000], [0.5000, 0.0000, 0.0000], [0.0000, 0.0000, 0.5000], [0.5000, 0.5000, 0.5000], [0.5000, 0.5000, 0.0000]]
}


One value per record, in order, for calculated total energy: -29.61 -28.09 -23.42 eV per cell.